(1)
# PBE CaAlAu2, optimized geometry
# - calculated volume (Å³/f.u.) = 106.2
# - formation enthalpy at 0 K (kcal/mol of atoms) = -8.328
data_CaAlAu2
_chemical_formula_sum 'Ca4 Al4 Au8'
_space_group_name_H-M_alt 'I -4 2 d'
_space_group_IT_number 122
_space_group_name_Hall 'I -4 2bw'
_cell_length_a 5.087
_cell_length_b 5.087
_cell_length_c 16.412
_cell_angle_alpha 90.00
_cell_angle_beta 90.00
_cell_angle_gamma 90.00
loop_
_atom_site_label
_atom_site_type_symbol
_atom_site_fract_x
_atom_site_fract_y
_atom_site_fract_z
Ca1 Ca 0.000 0.000 0.000
Al1 Al 0.000 0.000 0.500
Au1 Au 0.141 0.250 0.625


(2)
# PBE AcNdSm2, optimized geometry
# - calculated volume (Å³/f.u.) = 146.4
# - formation enthalpy at 0 K (kcal/mol of atoms) = 0.701
# - ΔE to the lowest computed polymorph (meV/atom) = 0.0
data_AcNdSm2
_chemical_formula_sum 'Ac1 Nd1 Sm2'
_space_group_name_H-M_alt 'P 4/m m m'
_space_group_IT_number 123
_space_group_name_Hall '-P 4 2'
_cell_length_a 5.282
_cell_length_b 5.282
_cell_length_c 5.246
_cell_angle_alpha 90.00
_cell_angle_beta 90.00
_cell_angle_gamma 90.00
loop_
_atom_site_label
_atom_site_type_symbol
_atom_site_fract_x
_atom_site_fract_y
_atom_site_fract_z
Ac1 Ac 0.000 0.000 0.000
Nd1 Nd 0.500 0.500 0.000
Sm1 Sm 0.000 0.500 0.500


(3)
# PBE Hf5Be2Ga5, optimized geometry
# - calculated volume (Å³/f.u.) = 202.8
# - formation enthalpy at 0 K (kcal/mol of atoms) = -9.468
data_Hf5Be2Ga5
_chemical_formula_sum 'Hf10 Be4 Ga10'
_space_group_name_H-M_alt 'C 1 2/m 1'
_space_group_IT_number 12
_cell_length_a 14.069
_cell_length_b 4.028
_cell_length_c 9.280
_cell_angle_alpha 90.00
_cell_angle_beta 129.53
_cell_angle_gamma 90.00
loop_
_space_group_symop_operation_xyz
'x,y,z'
'-x,-y,-z'
'-x,y,-z'
'x,-y,z'
'x+1/2,y+1/2,z'
'-x+1/2,-y+1/2,-z'
'-x+1/2,y+1/2,-z'
'x+1/2,-y+1/2,z'
loop_
_atom_site_label
_atom_site_type_symbol
_atom_site_fract_x
_atom_site_fract_y
_atom_site_fract_z
Hf1 Hf 0.000 0.000 0.000
Hf2 Hf 0.110 0.000 0.420
Hf3 Hf 0.186 0.000 0.830
Be1 Be 0.149 0.500 0.253
Ga1 Ga 0.000 0.500 0.500
Ga2 Ga 0.057 0.500 0.853
Ga3 Ga 0.247 0.500 0.691


(4)
# PBE KCoIrSe3, optimized geometry
# - calculated volume (Å³/f.u.) = 138.7
# - formation energy from raw total energies (kJ/mol of atoms) = -47.86
data_KCoIrSe3
_chemical_formula_sum 'K2 Co2 Ir2 Se6'
_space_group_name_H-M_alt 'P 1 21/m 1'
_space_group_IT_number 11
_cell_length_a 8.420
_cell_length_b 3.815
_cell_length_c 9.468
_cell_angle_alpha 90.00
_cell_angle_beta 114.17
_cell_angle_gamma 90.00
loop_
_space_group_symop_operation_xyz
'x,y,z'
'-x,-y,-z'
'-x,y+1/2,-z'
'x,-y+1/2,z'
loop_
_atom_site_label
_atom_site_type_symbol
_atom_site_fract_x
_atom_site_fract_y
_atom_site_fract_z
K1 K 0.235 0.250 0.262
Co1 Co 0.084 0.250 0.601
Ir1 Ir 0.316 0.750 0.842
Se1 Se 0.123 0.250 0.860
Se2 Se 0.217 0.750 0.547
Se3 Se 0.477 0.750 0.134


(5)
# PBE Tm11Tl4Hg9, optimized geometry
# - calculated volume (Å³/f.u.) = 610.6
# - formation enthalpy at 0 K (kcal/mol of atoms) = -8.384
data_Tm11Tl4Hg9
_chemical_formula_sum 'Tm22 Tl8 Hg18'
_space_group_name_H-M_alt 'C m m m'
_space_group_IT_number 65
_space_group_name_Hall '-C 2 2'
_cell_length_a 15.975
_cell_length_b 21.235
_cell_length_c 3.600
_cell_angle_alpha 90.00
_cell_angle_beta 90.00
_cell_angle_gamma 90.00
loop_
_atom_site_label
_atom_site_type_symbol
_atom_site_fract_x
_atom_site_fract_y
_atom_site_fract_z
Tm1 Tm 0.000 0.000 0.000
Tm2 Tm 0.000 0.183 0.000
Tm3 Tm 0.000 0.358 0.000
Tm4 Tm 0.223 0.000 0.000
Tm5 Tm 0.231 0.171 0.000
Tl1 Tl 0.152 0.417 0.500
Hg1 Hg 0.000 0.500 0.500
Hg2 Hg 0.107 0.091 0.500
Hg3 Hg 0.121 0.266 0.500


(6)
# PBE Pm2Nd3Y6Ho, optimized geometry
# - calculated volume (Å³/f.u.) = 397.1
# - formation enthalpy at 0 K (kcal/mol of atoms) = 0.284
data_Pm2Nd3Y6Ho
_chemical_formula_sum 'Pm4 Nd6 Y12 Ho2'
_space_group_name_H-M_alt 'C 1 2/m 1'
_space_group_IT_number 12
_cell_length_a 6.260
_cell_length_b 10.837
_cell_length_c 11.890
_cell_angle_alpha 90.00
_cell_angle_beta 100.06
_cell_angle_gamma 90.00
loop_
_space_group_symop_operation_xyz
'x,y,z'
'-x,-y,-z'
'-x,y,-z'
'x,-y,z'
'x+1/2,y+1/2,z'
'-x+1/2,-y+1/2,-z'
'-x+1/2,y+1/2,-z'
'x+1/2,-y+1/2,z'
loop_
_atom_site_label
_atom_site_type_symbol
_atom_site_fract_x
_atom_site_fract_y
_atom_site_fract_z
Pm1 Pm 0.000 0.167 0.000
Nd1 Nd 0.000 0.000 0.500
Nd2 Nd 0.000 0.333 0.500
Y1 Y 0.249 0.334 0.248
Y2 Y 0.250 0.000 0.249
Ho1 Ho 0.000 0.500 0.000


(7)
# PBE ScCr2Rh2, optimized geometry
# - calculated volume (Å³/f.u.) = 75.1
# - formation enthalpy at 0 K (kcal/mol of atoms) = -2.083
# - ΔE to the lowest computed polymorph (meV/atom) = 31.6
data_ScCr2Rh2
_chemical_formula_sum 'Sc2 Cr4 Rh4'
_space_group_name_H-M_alt 'I 4/m m m'
_space_group_IT_number 139
_space_group_name_Hall '-I 4 2'
_cell_length_a 3.299
_cell_length_b 3.299
_cell_length_c 13.809
_cell_angle_alpha 90.00
_cell_angle_beta 90.00
_cell_angle_gamma 90.00
loop_
_atom_site_label
_atom_site_type_symbol
_atom_site_fract_x
_atom_site_fract_y
_atom_site_fract_z
Sc1 Sc 0.000 0.000 0.000
Cr1 Cr 0.000 0.500 0.250
Rh1 Rh 0.000 0.000 0.396


(8)
# PBE Tc2AgOs, optimized geometry
# - calculated volume (Å³/f.u.) = 63.7
# - formation enthalpy at 0 K (kcal/mol of atoms) = 13.637
# - ΔE to the lowest computed polymorph (meV/atom) = 327.0
data_Tc2AgOs
_chemical_formula_sum 'Tc4 Ag2 Os2'
_space_group_name_H-M_alt 'I m m m'
_space_group_IT_number 71
_space_group_name_Hall '-I 2 2'
_cell_length_a 2.787
_cell_length_b 4.643
_cell_length_c 9.853
_cell_angle_alpha 90.00
_cell_angle_beta 90.00
_cell_angle_gamma 90.00
loop_
_atom_site_label
_atom_site_type_symbol
_atom_site_fract_x
_atom_site_fract_y
_atom_site_fract_z
Tc1 Tc 0.000 0.000 0.219
Ag1 Ag 0.000 0.500 0.000
Os1 Os 0.000 0.500 0.500


(9)
# PBE AcTbPrSm, optimized geometry
# - calculated volume (Å³/f.u.) = 147.3
# - formation enthalpy at 0 K (kcal/mol of atoms) = 3.740
# - ΔE to the lowest computed polymorph (meV/atom) = 117.1
data_AcTbPrSm
_chemical_formula_sum 'Ac4 Tb4 Pr4 Sm4'
_space_group_name_H-M_alt 'F -4 3 m'
_space_group_IT_number 216
_space_group_name_Hall 'F -4 2 3'
_cell_length_a 8.384
_cell_length_b 8.384
_cell_length_c 8.384
_cell_angle_alpha 90.00
_cell_angle_beta 90.00
_cell_angle_gamma 90.00
loop_
_atom_site_label
_atom_site_type_symbol
_atom_site_fract_x
_atom_site_fract_y
_atom_site_fract_z
Ac1 Ac 0.000 0.000 0.000
Tb1 Tb 0.000 0.000 0.500
Pr1 Pr 0.250 0.250 0.750
Sm1 Sm 0.250 0.250 0.250


(10)
# PBE In2TeBr, optimized geometry
# - calculated volume (Å³/f.u.) = 138.6
# - ΔE to the lowest computed polymorph (meV/atom) = 28.1
# - formation energy from raw total energies (kJ/mol of atoms) = -37.70
data_In2TeBr
_chemical_formula_sum 'In6 Te3 Br3'
_space_group_name_H-M_alt 'R 3 m'
_space_group_IT_number 160
_space_group_name_Hall 'R 3 -2"'
_cell_length_a 4.2842
_cell_length_b 4.2842
_cell_length_c 26.1563
_cell_angle_alpha 90.00
_cell_angle_beta 90.00
_cell_angle_gamma 120.00
loop_
_atom_site_label
_atom_site_type_symbol
_atom_site_fract_x
_atom_site_fract_y
_atom_site_fract_z
In1 In 0.0000 0.0000 0.0000
In2 In 0.0000 0.0000 0.2497
Te1 Te 0.0000 0.0000 0.5264
Br1 Br 0.0000 0.0000 0.7316


(11)
# PBE NaI2Cl8, optimized geometry
# - calculated volume (Å³/f.u.) = 374.1
# - formation energy from raw total energies (kJ/mol of atoms) = -17.52
data_NaI2Cl8
_chemical_formula_sum 'Na1 I2 Cl8'
_space_group_name_H-M_alt 'P -3'
_space_group_IT_number 147
_cell_length_a 8.1863
_cell_length_b 8.1863
_cell_length_c 6.4448
_cell_angle_alpha 90.00
_cell_angle_beta 90.00
_cell_angle_gamma 120.00
loop_
_space_group_symop_operation_xyz
'x,y,z'
'-x,-y,-z'
'-y,x-y,z'
'y,-x+y,-z'
'-x+y,-x,z'
'x-y,x,-z'
loop_
_atom_site_label
_atom_site_type_symbol
_atom_site_fract_x
_atom_site_fract_y
_atom_site_fract_z
Na1 Na 0.0000 0.0000 0.0000
I1 I 0.3333 0.6667 0.2605
Cl1 Cl 0.1598 0.8381 0.2747
Cl2 Cl 0.3333 0.6667 0.7659


(12)
# PBE Ca2Ga3Rh, optimized geometry
# - calculated volume (Å³/f.u.) = 138.3
# - formation enthalpy at 0 K (kcal/mol of atoms) = -7.496
data_Ca2Ga3Rh
_chemical_formula_sum 'Ca4 Ga6 Rh2'
_space_group_name_H-M_alt 'I m m m'
_space_group_IT_number 71
_space_group_name_Hall '-I 2 2'
_cell_length_a 4.618
_cell_length_b 5.073
_cell_length_c 11.806
_cell_angle_alpha 90.00
_cell_angle_beta 90.00
_cell_angle_gamma 90.00
loop_
_atom_site_label
_atom_site_type_symbol
_atom_site_fract_x
_atom_site_fract_y
_atom_site_fract_z
Ca1 Ca 0.000 0.000 0.232
Ga1 Ga 0.000 0.500 0.104
Ga2 Ga 0.000 0.500 0.500
Rh1 Rh 0.000 0.000 0.500